Entry 1:
A geometry-optimized Ho6TmSc4 structure, computed with PBE.

extended XYZ file:
```
11
Lattice="-1.398 1.334 -2.812 1.288 -9.149 -4.980 -8.860 1.887 5.301" Properties=species:S:1:pos:R:3 pbc="T T T"
Ho -7.121 -3.590 -0.232
Ho -3.707 -0.317 -0.377
Ho 0.251 -4.703 -2.356
Ho -3.543 -3.895 -0.086
Ho -2.992 -7.813 -2.218
Ho -7.701 0.534 2.013
Tm 0.000 0.000 0.000
Sc -1.691 -1.922 -2.141
Sc -1.012 -6.740 -4.764
Sc -5.477 -1.791 1.874
Sc -5.678 -5.746 -1.972
```

Calculated values
Calculated formation energy (eV per atom): 0.1604
Space-group type: P-6m2

Entry 2:
A geometry-optimized HoTm6Sc12 structure, computed with PBE.

extended XYZ file:
```
19
Lattice="-6.097 -6.108 -2.301 7.835 -1.732 -3.922 0.924 0.345 8.877" Properties=species:S:1:pos:R:3 pbc="T T T"
Ho 0.000 0.000 0.000
Tm 5.142 -1.605 -2.303
Tm 0.766 -0.290 5.801
Tm -3.680 -4.375 -1.277
Tm 1.897 -7.205 -3.147
Tm -2.479 -5.890 4.957
Tm 6.342 -3.119 3.931
Sc -2.642 -4.995 1.789
Sc -0.661 -2.581 1.906
Sc 0.850 -3.035 -0.892
Sc 0.278 -5.870 1.103
Sc 1.813 -4.459 3.547
Sc 3.324 -4.913 0.749
Sc 3.302 -4.340 -2.323
Sc 3.333 -1.907 4.515
Sc 5.304 -2.499 0.865
Sc -0.640 -3.155 4.977
Sc -0.671 -5.587 -1.860
Sc 2.384 -1.625 1.551
```

Calculated values
Calculated formation energy (eV per atom): 0.3058
Space-group type: R-3m

Entry 3:
A geometry-optimized Ho7Tm3Sc2 structure, computed with PBE.

extended XYZ file:
```
12
Lattice="6.228 0.000 1.370 2.964 5.478 1.370 0.777 0.463 11.315" Properties=species:S:1:pos:R:3 pbc="T T T"
Ho 4.984 2.971 7.027
Ho 2.813 3.549 9.414
Ho 5.955 3.549 10.105
Ho 4.460 0.785 9.414
Ho 7.156 2.392 4.640
Ho 5.509 5.156 4.640
Ho 4.014 2.392 3.949
Tm 0.000 0.000 0.000
Tm 1.815 1.082 6.593
Tm 8.154 4.859 7.461
Sc 3.841 2.289 12.226
Sc 6.128 3.652 1.828
```

Calculated values
Calculated formation energy (eV per atom): 0.3064
Space-group type: R-3m

Entry 4:
A geometry-optimized HoTmSc4 structure, computed with PBE.

extended XYZ file:
```
12
Lattice="3.365 0.000 0.000 -1.682 8.708 0.000 0.000 0.000 10.798" Properties=species:S:1:pos:R:3 pbc="T T T"
Ho 1.682 2.843 8.249
Ho 0.000 5.865 2.850
Tm 1.682 4.872 5.616
Tm 0.000 3.836 0.217
Sc 0.000 0.056 2.905
Sc 1.682 8.653 8.304
Sc 1.682 6.834 0.158
Sc 0.000 1.875 5.557
Sc 1.682 2.847 2.945
Sc 0.000 5.862 8.344
Sc 0.000 7.801 5.620
Sc 1.682 0.908 0.221
```

Calculated values
Calculated formation energy (eV per atom): 0.0325
Space-group type: Cmc2_1

Entry 5:
A geometry-optimized Ho12TmSc7 structure, computed with PBE.

extended XYZ file:
```
20
Lattice="-3.764 4.079 7.091 -6.458 -1.728 -6.033 3.476 -7.837 2.754" Properties=species:S:1:pos:R:3 pbc="T T T"
Ho -2.975 -2.123 5.417
Ho -4.328 0.532 3.016
Ho -0.940 -0.779 3.284
Ho -5.992 -2.070 3.995
Ho -0.383 -4.066 3.382
Ho -3.247 -5.458 3.978
Ho -3.500 -0.029 -0.166
Ho -6.364 -1.421 0.431
Ho -0.754 -3.417 -0.183
Ho -5.806 -4.708 0.528
Ho -2.418 -6.018 0.796
Ho -3.771 -3.364 -1.605
Tm 0.000 0.000 0.000
Sc -4.804 -0.798 -3.372
Sc -4.497 -7.446 -1.305
Sc -8.427 0.044 2.521
Sc -3.373 -2.743 1.906
Sc 1.680 -5.531 1.291
Sc -2.250 1.959 5.117
Sc -1.943 -4.688 7.184
```

Calculated values
Calculated formation energy (eV per atom): 0.1715
Space-group type: R-3

Entry 6:
A geometry-optimized HoTm8Sc2 structure, computed with PBE.

extended XYZ file:
```
11
Lattice="5.617 -0.683 -1.025 -1.887 8.990 -1.162 -1.887 -4.535 7.849" Properties=species:S:1:pos:R:3 pbc="T T T"
Ho 2.809 -0.341 -0.512
Tm 1.538 4.650 3.208
Tm 1.538 1.169 5.527
Tm -0.485 2.218 3.330
Tm 0.922 5.893 0.161
Tm 0.922 -2.121 5.501
Tm 2.329 1.554 2.332
Tm 0.306 2.603 0.135
Tm 0.306 -0.878 2.454
Sc -1.887 -0.321 5.041
Sc -1.887 4.776 1.645
```

Calculated values
Calculated formation energy (eV per atom): 0.1765
Space-group type: C2/m

| no. | spin magnetization (Bohr magnetons per cell) |
| --- | --- |
| 1 | 0.00 |
| 2 | 0.35 |
| 3 | 0.00 |
| 4 | 0.00 |
| 5 | 5.41 |
| 6 | 0.00 |